ZrAs2W: relaxed, PBE.

Lattice parameters (Å, degrees): 4.997 4.997 4.611 102.08 102.08 38.95
Fractional positions:
Zr: 0.000 0.000 0.000
As: 0.266 0.266 0.878
As: 0.501 0.501 0.503
W: 0.779 0.779 0.403

Its total moment is 0.0 μB/f.u. The calculation puts the energy of formation at -0.324 eV per atom. For the offset from the most stable computed form, the calculation gives 191.6 meV per atom. The symmetry is Cm.

=====

Zr2AsW: relaxed, PBE.

Lattice parameters (Å, degrees): 4.954 4.954 4.954 126.85 126.85 78.49
Fractional positions:
Zr: 0.250 0.750 0.500
Zr: 0.750 0.250 0.500
As: 0.000 0.000 0.000
W: 0.500 0.500 0.000

Its total moment is 0.0 μB/f.u. The calculation puts the energy of formation at -0.106 eV per atom. The symmetry is I4/mmm.

=====

ZrAsW2: relaxed, PBE.

Lattice parameters (Å, degrees): 8.314 8.314 8.314 22.43 22.43 22.43
Fractional positions:
Zr: 0.000 0.000 0.000
As: 0.755 0.755 0.755
W: 0.242 0.242 0.242
W: 0.497 0.497 0.497

Its total moment is 0.0 μB/f.u. The calculation puts the energy of formation at 0.194 eV per atom. The symmetry is R3m.

=====

ZrAsW2: relaxed, PBE.

Lattice parameters (Å, degrees): 4.860 4.860 4.860 128.04 128.04 76.56
Fractional positions:
Zr: 0.000 0.000 0.000
As: 0.250 0.750 0.500
W: 0.500 0.500 0.000
W: 0.750 0.250 0.500

Its total moment is 0.0 μB/f.u. The calculation puts the energy of formation at 0.230 eV per atom. The symmetry is I-4m2.

=====

ZrAsW: relaxed, PBE.

Lattice parameters (Å, degrees): 6.728 6.504 3.025 80.96 72.68 26.36
Fractional positions:
Zr: 0.000 0.000 0.000
As: 0.333 0.333 0.667
W: 0.682 0.682 0.318

Its total moment is 0.0 μB/f.u. The calculation puts the energy of formation at -0.018 eV per atom. For the offset from the most stable computed form, the calculation gives 105.6 meV per atom. The symmetry is Fmm2.

=====

ZrAsW2: relaxed, PBE.

Lattice parameters (Å, degrees): 2.984 4.293 5.550 90.00 94.89 90.00
Fractional positions:
Zr: 0.000 0.000 0.000
As: 0.536 0.500 0.205
W: 0.342 0.500 0.710
W: 0.623 0.000 0.505

Its total moment is 0.0 μB/f.u. The calculation puts the energy of formation at 0.038 eV per atom. The symmetry is Pm.

=====

Zr3AsW: relaxed, PBE.

Lattice parameters (Å, degrees): 4.911 4.911 4.911 90.00 90.00 90.00
Fractional positions:
Zr: 0.000 0.000 0.500
Zr: 0.000 0.500 0.000
Zr: 0.500 0.000 0.000
As: 0.000 0.000 0.000
W: 0.500 0.500 0.500

Its total moment is 0.0 μB/f.u. The calculation puts the energy of formation at 0.557 eV per atom. For the offset from the most stable computed form, the calculation gives 0.0 meV per atom. The symmetry is Pm-3m.

=====

ZrAs2W: relaxed, PBE.

Lattice parameters (Å, degrees): 4.585 4.585 4.585 60.00 60.00 60.00
Fractional positions:
Zr: 0.000 0.000 0.000
As: 0.250 0.250 0.250
As: 0.750 0.750 0.750
W: 0.500 0.500 0.500

Its total moment is 0.0 μB/f.u. The calculation puts the energy of formation at -0.308 eV per atom. For the offset from the most stable computed form, the calculation gives 207.1 meV per atom. The symmetry is Fm-3m.

=====

Zr2AsW: relaxed, PBE.

Lattice parameters (Å, degrees): 6.037 6.037 6.037 103.01 103.01 123.36
Fractional positions:
Zr: 0.116 0.625 0.991
Zr: 0.375 0.366 0.491
Zr: 0.634 0.125 0.009
Zr: 0.875 0.884 0.509
As: 0.000 0.000 0.000
As: 0.750 0.250 0.500
W: 0.250 0.750 0.500
W: 0.500 0.500 0.000

Its total moment is 0.0 μB/f.u. The calculation puts the energy of formation at 0.314 eV per atom. The symmetry is I-42d.

=====

ZrAs2W: relaxed, PBE.

Lattice parameters (Å, degrees): 3.605 3.934 5.048 90.00 90.00 90.00
Fractional positions:
Zr: 0.000 0.000 0.000
As: 0.000 0.500 0.500
As: 0.500 0.500 0.000
W: 0.500 0.000 0.500

Its total moment is 0.0 μB/f.u. The calculation puts the energy of formation at -0.005 eV per atom. For the offset from the most stable computed form, the calculation gives 510.8 meV per atom. The symmetry is Pmmm.

=====

ZrAs3W: relaxed, PBE.

Lattice parameters (Å, degrees): 4.873 4.873 4.873 90.00 90.00 90.00
Fractional positions:
Zr: 0.000 0.000 0.000
As: 0.000 0.500 0.500
As: 0.500 0.000 0.500
As: 0.500 0.500 0.000
W: 0.500 0.500 0.500

Its total moment is 1.4 μB/f.u. The calculation puts the energy of formation at 0.571 eV per atom. For the offset from the most stable computed form, the calculation gives 0.0 meV per atom. The symmetry is Pm-3m.

=====

YAs3: relaxed, PBE.

Lattice parameters (Å, degrees): 4.966 4.966 4.966 60.00 60.00 60.00
Fractional positions:
Y: 0.000 0.000 0.000
As: 0.250 0.250 0.250
As: 0.500 0.500 0.500
As: 0.750 0.750 0.750

Its total moment is 0.0 μB/f.u. The calculation puts the energy of formation at -0.230 eV per atom. The symmetry is Fm-3m.

=====

YAs3: relaxed, PBE.

Lattice parameters (Å, degrees): 4.373 4.373 4.373 90.00 90.00 90.00
Fractional positions:
Y: 0.000 0.000 0.000
As: 0.000 0.500 0.500
As: 0.500 0.000 0.500
As: 0.500 0.500 0.000

Its total moment is 0.0 μB/f.u. The calculation puts the energy of formation at -0.483 eV per atom. The symmetry is Pm-3m.

=====

YAs4: relaxed, PBE.

Lattice parameters (Å, degrees): 5.376 5.376 5.376 90.00 90.00 90.00
Fractional positions:
Y: 0.000 0.000 0.000
As: 0.000 0.000 0.500
As: 0.000 0.500 0.000
As: 0.500 0.000 0.000
As: 0.500 0.500 0.500

Its total moment is 0.0 μB/f.u. The calculation puts the energy of formation at 0.756 eV per atom. For the offset from the most stable computed form, the calculation gives 752.2 meV per atom. The symmetry is Pm-3m.

=====

Y5As4: relaxed, PBE.

Lattice parameters (Å, degrees): 8.508 8.508 8.508 93.38 93.38 151.90
Fractional positions:
Y: 0.000 0.000 0.000
Y: 0.337 0.337 0.673
Y: 0.337 0.663 0.000
Y: 0.663 0.337 0.000
Y: 0.663 0.663 0.327
As: 0.000 0.244 0.244
As: 0.000 0.756 0.756
As: 0.244 0.000 0.244
As: 0.756 0.000 0.756

Its total moment is 0.7 μB/f.u. The calculation puts the energy of formation at -0.794 eV per atom. For the offset from the most stable computed form, the calculation gives 403.9 meV per atom. The symmetry is I4/mmm.

=====

YAs2: relaxed, PBE.

Lattice parameters (Å, degrees): 5.713 5.713 5.713 60.00 60.00 60.00
Fractional positions:
Y: 0.125 0.125 0.125
Y: 0.875 0.875 0.875
As: 0.000 0.500 0.500
As: 0.500 0.000 0.500
As: 0.500 0.500 0.000
As: 0.500 0.500 0.500

Its total moment is 0.0 μB/f.u. The calculation puts the energy of formation at -0.317 eV per atom. The symmetry is Fd-3m.

=====

Y2As3: relaxed, PBE.

Lattice parameters (Å, degrees): 5.042 5.042 5.782 90.00 90.00 120.00
Fractional positions:
Y: 0.333 0.667 0.265
Y: 0.667 0.333 0.735
As: 0.000 0.000 0.500
As: 0.333 0.667 0.769
As: 0.667 0.333 0.231

Its total moment is 0.0 μB/f.u. The calculation puts the energy of formation at -0.816 eV per atom. For the offset from the most stable computed form, the calculation gives 187.5 meV per atom. The symmetry is P-3m1.

=====

YAs2: relaxed, PBE.

Lattice parameters (Å, degrees): 6.903 6.903 6.903 90.00 90.00 90.00
Fractional positions:
Y: 0.000 0.000 0.000
Y: 0.000 0.500 0.500
Y: 0.500 0.000 0.500
Y: 0.500 0.500 0.000
As: 0.100 0.600 0.900
As: 0.100 0.900 0.400
As: 0.400 0.100 0.900
As: 0.400 0.400 0.400
As: 0.600 0.600 0.600
As: 0.600 0.900 0.100
As: 0.900 0.100 0.600
As: 0.900 0.400 0.100

Its total moment is 0.0 μB/f.u. The calculation puts the energy of formation at -0.594 eV per atom. The symmetry is Pa-3.

=====

YAs3: relaxed, PBE.

Lattice parameters (Å, degrees): 9.890 9.890 9.890 18.70 18.70 18.70
Fractional positions:
Y: 0.000 0.000 0.000
As: 0.251 0.251 0.251
As: 0.500 0.500 0.500
As: 0.749 0.749 0.749

Its total moment is 0.0 μB/f.u. The calculation puts the energy of formation at 0.121 eV per atom. The symmetry is R-3m.

=====

Y5As4: relaxed, PBE.

Lattice parameters (Å, degrees): 8.711 8.711 6.415 90.00 90.00 120.00
Fractional positions:
Y: 0.000 0.262 0.250
Y: 0.000 0.738 0.750
Y: 0.262 0.000 0.250
Y: 0.262 0.262 0.750
Y: 0.333 0.667 0.000
Y: 0.333 0.667 0.500
Y: 0.667 0.333 0.000
Y: 0.667 0.333 0.500
Y: 0.738 0.000 0.750
Y: 0.738 0.738 0.250
As: 0.000 0.000 0.000
As: 0.000 0.000 0.500
As: 0.000 0.395 0.750
As: 0.000 0.605 0.250
As: 0.395 0.000 0.750
As: 0.395 0.395 0.250
As: 0.605 0.000 0.250
As: 0.605 0.605 0.750

Its total moment is 0.0 μB/f.u. The calculation puts the energy of formation at -1.198 eV per atom. For the offset from the most stable computed form, the calculation gives 0.0 meV per atom. The symmetry is P6_3/mcm.